# PbWSCl2

A relaxed PbWSCl2 crystal (PBE-GGA, the Alexandria database).

Values from the calculation:
Its total magnetic moment is 0.608 μB per cell. Its energy relative to the lowest polymorph listed for this composition is 0 meV per atom. The crystal system is tetragonal. The calculation puts the formation energy (no corrections) at 0.00 eV/atom.

Cell and atoms, written as extended XYZ:
```
5
Lattice="5.0008 0.0000 0.0000 0.0000 5.0008 0.0000 0.0000 0.0000 4.6132" Properties=species:S:1:pos:R:3 pbc="T T T"
Pb 2.5004 2.5004 2.3066
S 0.0000 0.0000 2.3066
W 0.0000 0.0000 0.0000
Cl 0.0000 2.5004 0.0000
Cl 2.5004 0.0000 0.0000
```